Below is an optimized crystal structure of In4Ir2Os, with properties calculated at the PBE-GGA level.

Geometry as POSCAR:
```
In4Ir2Os
1.0
-3.908 -3.150 0.891
1.878 -1.022 4.628
-4.457 2.890 5.256
Ir Os In
2 1 4
Direct
0.601 0.601 0.799
0.399 0.399 0.201
0.000 0.000 0.000
0.798 0.798 0.403
0.202 0.202 0.597
0.000 0.500 0.000
0.500 0.000 0.000
```

Output
DOS(E_F) = 10.4 states/eV per cell
Space group = I4/mmm
Total magnetization = 0.40 μB per cell
Formation energy from the elements = 4.82 eV per formula unit